First-principles (SCAN) data for a PBEsol-optimized structure of URu2Rh, as listed in the Alexandria database.

Results
* total magnetic moment: 0.00 μB per formula unit
* ΔE_f: -0.447 eV per atom
* V: 15.315 A^3/atom

Cell lengths 3.9779, 3.9779, 3.8712 Å; angles 90.00, 90.00, 90.00 degrees
Space group P4/mmm (No. 123)
One atom of each set of equivalent atoms:
U  0.0000  0.0000  0.0000 x1
Ru  0.0000  0.5000  0.5000 x2
Rh  0.5000  0.5000  0.0000 x1


First-principles (SCAN) data for a PBEsol-optimized structure of TlAs2Cl, as listed in the Alexandria database.

Results
* total magnetic moment: 0.00 μB per formula unit
* ΔE_f (raw): 0.0560 eV/atom
* V: 23.699 A^3/atom

Cell lengths 5.4686, 5.6625, 12.2450 Å; angles 90.00, 90.00, 90.00 degrees
Space group Fmmm (No. 69)
One atom of each set of equivalent atoms:
Tl  0.0000  0.0000  0.0000 x4
As  0.0000  0.2500  0.2500 x8
Cl  0.0000  0.0000  0.5000 x4


First-principles (SCAN) data for a PBEsol-optimized structure of SrNiSe2, as listed in the Alexandria database.

Results
* total magnetic moment: 2.00 μB per formula unit
* ΔE_f (raw): -1.1462 eV/atom
* V: 21.555 A^3/atom
* distance to the lowest polymorph of the same formula: 0 meV/atom

Cell lengths 3.9730, 3.9730, 18.9217 Å; angles 90.00, 90.00, 120.00 degrees
Space group R-3m (No. 166, hexagonal axes)
One atom of each set of equivalent atoms:
Sr  0.0000  0.0000  0.0000 x3
Ni  0.0000  0.0000  0.5000 x3
Se  0.0000  0.0000  0.2299 x6


First-principles (SCAN) data for a PBEsol-optimized structure of BaLi2Mg, as listed in the Alexandria database.

Results
* total magnetic moment: 0.52 μB per formula unit
* ΔE_f: 0.162 eV per atom
* V: 28.526 A^3/atom

Cell lengths 5.6452, 5.6452, 3.5805 Å; angles 90.00, 90.00, 90.00 degrees
Space group P4/mmm (No. 123)
One atom of each set of equivalent atoms:
Ba  0.0000  0.0000  0.0000 x1
Li  0.0000  0.5000  0.5000 x2
Mg  0.5000  0.5000  0.0000 x1


First-principles (SCAN) data for a PBEsol-optimized structure of SrMgRh, as listed in the Alexandria database.

Results
* total magnetic moment: 0.00 μB per formula unit
* ΔE_f: 0.727 eV per atom
* V: 27.012 A^3/atom

Cell lengths 6.8693, 6.8693, 6.8693 Å; angles 90.00, 90.00, 90.00 degrees
Space group F-43m (No. 216)
One atom of each set of equivalent atoms:
Sr  0.0000  0.0000  0.0000 x4
Mg  0.2500  0.2500  0.7500 x4
Rh  0.2500  0.2500  0.2500 x4


First-principles (SCAN) data for a PBEsol-optimized structure of ScSe2N, as listed in the Alexandria database.

Results
* total magnetic moment: 0.00 μB per formula unit
* ΔE_f (raw): 0.0242 eV/atom
* V: 21.100 A^3/atom

Cell lengths 3.8673, 3.8673, 19.5486 Å; angles 90.00, 90.00, 120.00 degrees
Space group R-3m (No. 166, hexagonal axes)
One atom of each set of equivalent atoms:
Sc  0.0000  0.0000  0.0000 x3
Se  0.0000  0.0000  0.4095 x6
N  0.0000  0.0000  0.5000 x3


First-principles (SCAN) data for a PBEsol-optimized structure of ScSb2Ir, as listed in the Alexandria database.

Results
* total magnetic moment: 0.00 μB per formula unit
* ΔE_f (raw): -0.4596 eV/atom
* V: 20.310 A^3/atom

Cell lengths 3.7095, 3.9249, 11.1599 Å; angles 90.00, 90.00, 90.00 degrees
Space group Imm2 (No. 44)
One atom of each set of equivalent atoms:
Sc  0.0000  0.0000  0.0000 x2
Sb  0.0000  0.0000  0.5729 x2
Sb  0.0000  0.5000  0.8074 x2
Ir  0.0000  0.5000  0.2455 x2


First-principles (SCAN) data for a PBEsol-optimized structure of Ta2Te, as listed in the Alexandria database.

Results
* total magnetic moment: 0.00 μB per formula unit
* ΔE_f (raw): 0.4430 eV/atom
* V: 18.859 A^3/atom

Cell lengths 4.8488, 4.8488, 5.5573 Å; angles 90.00, 90.00, 120.00 degrees
Space group P6_3/mmc (No. 194)
One atom of each set of equivalent atoms:
Ta  0.0000  0.0000  0.0000 x2
Ta  0.3333  0.6667  0.2500 x2
Te  0.3333  0.6667  0.7500 x2


First-principles (SCAN) data for a PBEsol-optimized structure of CdPb2Au, as listed in the Alexandria database.

Results
* total magnetic moment: 0.00 μB per formula unit
* ΔE_f: 0.013 eV per atom
* V: 24.299 A^3/atom

Cell lengths 11.8751, 3.3413, 5.3746 Å; angles 90.00, 114.28, 90.00 degrees
Space group Cm (No. 8)
One atom of each set of equivalent atoms:
Cd  0.0000  0.0000  0.0000 x2
Pb  0.0597  0.5000  0.5550 x2
Pb  0.2712  0.5000  0.2439 x2
Au  0.2919  0.0000  0.7539 x2


First-principles (SCAN) data for a PBEsol-optimized structure of In3Ir, as listed in the Alexandria database.

Results
* total magnetic moment: 0.00 μB per formula unit
* ΔE_f: -0.230 eV per atom
* V: 21.923 A^3/atom

Cell lengths 6.9886, 6.9886, 7.1818 Å; angles 90.00, 90.00, 90.00 degrees
Space group P4_2/mnm (No. 136)
One atom of each set of equivalent atoms:
In  0.0000  0.5000  0.0000 x4
In  0.1519  0.1519  0.2442 x8
Ir  0.1542  0.8458  0.0000 x4


First-principles (SCAN) data for a PBEsol-optimized structure of RbTi2NiW, as listed in the Alexandria database.

Results
* total magnetic moment: 0.92 μB per formula unit
* ΔE_f: 1.254 eV per atom
* V: 20.739 A^3/atom

Cell lengths 4.7242, 4.7242, 4.6461 Å; angles 90.00, 90.00, 90.00 degrees
Space group P4/mmm (No. 123)
One atom of each set of equivalent atoms:
Rb  0.0000  0.0000  0.0000 x1
Ti  0.0000  0.5000  0.5000 x2
Ni  0.5000  0.5000  0.5000 x1
W  0.5000  0.5000  0.0000 x1


First-principles (SCAN) data for a PBEsol-optimized structure of SrLi, as listed in the Alexandria database.

Results
* total magnetic moment: 0.01 μB per formula unit
* ΔE_f: 0.074 eV per atom
* V: 38.547 A^3/atom
* distance to the lowest polymorph of the same formula: 56 meV/atom

Cell lengths 4.5773, 4.5773, 16.9950 Å; angles 90.00, 90.00, 120.00 degrees
Space group P6_3/mmc (No. 194)
One atom of each set of equivalent atoms:
Sr  0.3333  0.6667  0.1025 x4
Li  0.0000  0.0000  0.2500 x2
Li  0.3333  0.6667  0.7500 x2


First-principles (SCAN) data for a PBEsol-optimized structure of As3AuF, as listed in the Alexandria database.

Results
* total magnetic moment: 0.00 μB per formula unit
* ΔE_f (raw): 0.5957 eV/atom
* V: 18.077 A^3/atom

Cell lengths 4.4877, 4.4877, 4.4877 Å; angles 90.00, 90.00, 90.00 degrees
Space group Pm-3m (No. 221)
One atom of each set of equivalent atoms:
As  0.0000  0.0000  0.5000 x3
Au  0.5000  0.5000  0.5000 x1
F  0.0000  0.0000  0.0000 x1


First-principles (SCAN) data for a PBEsol-optimized structure of Ca2MgCl, as listed in the Alexandria database.

Results
* total magnetic moment: 0.19 μB per formula unit
* ΔE_f (raw): -0.7260 eV/atom
* V: 30.763 A^3/atom
* distance to the lowest polymorph of the same formula: 81 meV/atom

Cell lengths 3.9128, 3.9128, 8.0375 Å; angles 90.00, 90.00, 90.00 degrees
Space group P4mm (No. 99)
One atom of each set of equivalent atoms:
Ca  0.0000  0.0000  0.0000 x1
Ca  0.5000  0.5000  0.3628 x1
Mg  0.5000  0.5000  0.7727 x1
Cl  0.0000  0.0000  0.3572 x1


First-principles (SCAN) data for a PBEsol-optimized structure of TlSiIr, as listed in the Alexandria database.

Results
* total magnetic moment: 0.00 μB per formula unit
* ΔE_f (raw): 0.2514 eV/atom
* V: 19.188 A^3/atom

Cell lengths 6.1292, 6.1292, 6.1292 Å; angles 90.00, 90.00, 90.00 degrees
Space group F-43m (No. 216)
One atom of each set of equivalent atoms:
Tl  0.0000  0.0000  0.0000 x4
Si  0.0000  0.0000  0.5000 x4
Ir  0.2500  0.2500  0.7500 x4


First-principles (SCAN) data for a PBEsol-optimized structure of Sb2Se2N, as listed in the Alexandria database.

Results
* total magnetic moment: 0.00 μB per formula unit
* ΔE_f (raw): 0.3170 eV/atom
* V: 32.112 A^3/atom

Cell lengths 5.4856, 5.4856, 10.6713 Å; angles 90.00, 90.00, 90.00 degrees
Space group I4/mmm (No. 139)
One atom of each set of equivalent atoms:
Sb  0.0000  0.0000  0.1786 x4
Se  0.0000  0.5000  0.2500 x4
N  0.0000  0.0000  0.0000 x2


First-principles (SCAN) data for a PBEsol-optimized structure of NaHfNb2, as listed in the Alexandria database.

Results
* total magnetic moment: 0.00 μB per formula unit
* ΔE_f: 0.823 eV per atom
* V: 19.115 A^3/atom

Cell lengths 6.7375, 6.7375, 6.7375 Å; angles 90.00, 90.00, 90.00 degrees
Space group Fm-3m (No. 225)
One atom of each set of equivalent atoms:
Na  0.0000  0.0000  0.0000 x4
Hf  0.0000  0.0000  0.5000 x4
Nb  0.2500  0.2500  0.2500 x8


First-principles (SCAN) data for a PBEsol-optimized structure of TcSb2Au, as listed in the Alexandria database.

Results
* total magnetic moment: 1.75 μB per formula unit
* ΔE_f (raw): 0.4795 eV/atom
* V: 19.278 A^3/atom
* distance to the lowest polymorph of the same formula: 377 meV/atom

Cell lengths 6.7566, 6.7566, 6.7566 Å; angles 90.00, 90.00, 90.00 degrees
Space group Fm-3m (No. 225)
One atom of each set of equivalent atoms:
Tc  0.0000  0.0000  0.0000 x4
Sb  0.2500  0.2500  0.2500 x8
Au  0.0000  0.0000  0.5000 x4


First-principles (SCAN) data for a PBEsol-optimized structure of LaY2Fe, as listed in the Alexandria database.

Results
* total magnetic moment: 2.54 μB per formula unit
* ΔE_f: 0.342 eV per atom
* V: 25.224 A^3/atom
* distance to the lowest polymorph of the same formula: 17 meV/atom

Cell lengths 4.5990, 4.5990, 9.5407 Å; angles 90.00, 90.00, 90.00 degrees
Space group I-4m2 (No. 119)
One atom of each set of equivalent atoms:
La  0.0000  0.0000  0.0000 x2
Y  0.0000  0.0000  0.5000 x2
Y  0.0000  0.5000  0.2500 x2
Fe  0.0000  0.5000  0.7500 x2


First-principles (SCAN) data for a PBEsol-optimized structure of CoSnF6, as listed in the Alexandria database.

Results
* total magnetic moment: 3.00 μB per formula unit
* ΔE_f (raw): -2.4604 eV/atom
* V: 13.282 A^3/atom

Cell lengths 5.1645, 5.1645, 13.8005 Å; angles 90.00, 90.00, 120.00 degrees
Space group R-3 (No. 148, hexagonal axes)
One atom of each set of equivalent atoms:
Co  0.0000  0.0000  0.0000 x3
Sn  0.0000  0.0000  0.5000 x3
F  0.0010  0.6314  0.2497 x18


First-principles (SCAN) data for a PBEsol-optimized structure of LaSi3Ir, as listed in the Alexandria database.

Results
* total magnetic moment: 0.00 μB per formula unit
* ΔE_f (raw): -0.9384 eV/atom
* V: 17.755 A^3/atom

Cell lengths 4.2539, 4.2539, 9.8113 Å; angles 90.00, 90.00, 90.00 degrees
Space group I4mm (No. 107)
One atom of each set of equivalent atoms:
La  0.0000  0.0000  0.0000 x2
Si  0.0000  0.0000  0.4134 x2
Si  0.0000  0.5000  0.2637 x4
Ir  0.0000  0.0000  0.6546 x2


First-principles (SCAN) data for a PBEsol-optimized structure of YMg5Cu, as listed in the Alexandria database.

Results
* total magnetic moment: 0.00 μB per formula unit
* ΔE_f: 0.163 eV per atom
* V: 23.368 A^3/atom

Cell lengths 4.2085, 4.2085, 9.2358 Å; angles 90.00, 90.00, 90.00 degrees
Space group P4/mmm (No. 123)
One atom of each set of equivalent atoms:
Y  0.0000  0.0000  0.0000 x1
Mg  0.0000  0.0000  0.5000 x1
Mg  0.0000  0.5000  0.2768 x4
Cu  0.5000  0.5000  0.5000 x1


First-principles (SCAN) data for a PBEsol-optimized structure of LaCd2H, as listed in the Alexandria database.

Results
* total magnetic moment: 0.00 μB per formula unit
* raw total energy: -1.945 Ry/atom
* V: 22.927 A^3/atom

Cell lengths 7.1586, 7.1586, 7.1586 Å; angles 90.00, 90.00, 90.00 degrees
Space group Fm-3m (No. 225)
One atom of each set of equivalent atoms:
La  0.0000  0.0000  0.0000 x4
Cd  0.2500  0.2500  0.2500 x8
H  0.0000  0.0000  0.5000 x4


First-principles (SCAN) data for a PBEsol-optimized structure of CoCuPb2, as listed in the Alexandria database.

Results
* total magnetic moment: 1.69 μB per formula unit
* ΔE_f: 0.510 eV per atom
* V: 18.454 A^3/atom
* distance to the lowest polymorph of the same formula: 124 meV/atom

Cell lengths 4.3787, 5.0649, 6.6570 Å; angles 90.00, 90.00, 90.00 degrees
Space group Immm (No. 71)
One atom of each set of equivalent atoms:
Co  0.0000  0.0000  0.0000 x2
Cu  0.0000  0.0000  0.5000 x2
Pb  0.0000  0.5000  0.2517 x4


First-principles (SCAN) data for a PBEsol-optimized structure of Ag2Au, as listed in the Alexandria database.

Results
* total magnetic moment: 0.00 μB per formula unit
* ΔE_f: -0.067 eV per atom
* V: 16.676 A^3/atom
* distance to the lowest polymorph of the same formula: 8 meV/atom

Cell lengths 8.5335, 4.9552, 4.7323 Å; angles 90.00, 90.00, 90.00 degrees
Space group Cmcm (No. 63)
One atom of each set of equivalent atoms:
Ag  0.1662  0.1656  0.2500 x8
Au  0.0000  0.3354  0.7500 x4


First-principles (SCAN) data for a PBEsol-optimized structure of LiZr2AgBi, as listed in the Alexandria database.

Results
* total magnetic moment: 0.00 μB per formula unit
* ΔE_f: 0.303 eV per atom
* V: 23.798 A^3/atom

Cell lengths 5.1418, 5.1418, 4.5007 Å; angles 90.00, 90.00, 90.00 degrees
Space group P4/mmm (No. 123)
One atom of each set of equivalent atoms:
Li  0.0000  0.0000  0.0000 x1
Zr  0.0000  0.5000  0.5000 x2
Ag  0.0000  0.0000  0.5000 x1
Bi  0.5000  0.5000  0.0000 x1


First-principles (SCAN) data for a PBEsol-optimized structure of YMg2Cu2, as listed in the Alexandria database.

Results
* total magnetic moment: 0.00 μB per formula unit
* ΔE_f: -0.204 eV per atom
* V: 18.885 A^3/atom
* distance to the lowest polymorph of the same formula: 0 meV/atom

Cell lengths 3.9845, 3.9845, 11.8953 Å; angles 90.00, 90.00, 90.00 degrees
Space group I4/mmm (No. 139)
One atom of each set of equivalent atoms:
Y  0.0000  0.0000  0.0000 x2
Mg  0.0000  0.5000  0.2500 x4
Cu  0.0000  0.0000  0.4008 x4


First-principles (SCAN) data for a PBEsol-optimized structure of Zn2RePt, as listed in the Alexandria database.

Results
* total magnetic moment: 0.00 μB per formula unit
* ΔE_f: 0.083 eV per atom
* V: 13.986 A^3/atom
* distance to the lowest polymorph of the same formula: 92 meV/atom

Cell lengths 3.9507, 3.9507, 3.5844 Å; angles 90.00, 90.00, 90.00 degrees
Space group P4/mmm (No. 123)
One atom of each set of equivalent atoms:
Zn  0.0000  0.5000  0.0000 x2
Re  0.0000  0.0000  0.5000 x1
Pt  0.5000  0.5000  0.5000 x1


First-principles (SCAN) data for a PBEsol-optimized structure of ZnAs2Rh, as listed in the Alexandria database.

Results
* total magnetic moment: 0.00 μB per formula unit
* ΔE_f: -0.223 eV per atom
* V: 17.966 A^3/atom

Cell lengths 4.5706, 4.0376, 7.7883 Å; angles 90.00, 90.00, 90.00 degrees
Space group Amm2 (No. 38)
One atom of each set of equivalent atoms:
Zn  0.0000  0.0000  0.0000 x2
As  0.0000  0.0000  0.3134 x2
As  0.5000  0.0000  0.8352 x2
Rh  0.5000  0.0000  0.1630 x2